Below is a geometry-optimized SmTmIn2 structure, with properties calculated at the GGA-PBE level.

Values from the calculation:
Its total energy is -3.977 eV/atom. The value obtained for the formation energy is -120 kJ/mol of formula units. As for the crystal system: trigonal. The symmetry is R-3m, No. 166. The density comes out at 7.9 g/cm3.

The structure in POSCAR format:
```
SmTmIn2
1.0
3.696 0.000 0.000
1.848 3.201 0.000
1.848 1.067 9.768
Tm Sm In
1 1 2
Direct
0.000 0.000 0.000
0.500 0.500 0.500
0.748 0.748 0.756
0.252 0.252 0.244
```